1.
Here is an optimized crystal structure of TlCu3ReSe4 from OQMD. Energies are from GGA-PBE.

## Properties
- total energy (eV per atom) = -4.35
- mass density (g/cm³) = 6.66
- spin magnetization (Bohr magnetons per cell) = 2.04

CIF file:
```
data_TlCu3ReSe4
_chemical_formula_sum 'Tl1 Cu3 Re1 Se4'
_space_group_name_H-M_alt 'P -4 3 m'
_space_group_IT_number 215
_space_group_name_Hall 'P -4 2 3'
_cell_length_a 6.0704
_cell_length_b 6.0704
_cell_length_c 6.0704
_cell_angle_alpha 90.00
_cell_angle_beta 90.00
_cell_angle_gamma 90.00
loop_
_atom_site_label
_atom_site_type_symbol
_atom_site_fract_x
_atom_site_fract_y
_atom_site_fract_z
_atom_site_occupancy
Tl1 Tl 0.0000 0.0000 0.0000 1
Cu1 Cu 0.0000 0.5000 0.5000 1
Re1 Re 0.5000 0.5000 0.5000 1
Se1 Se 0.2718 0.2718 0.2718 1
```

2.
Here is an optimized crystal structure of KErPO from OQMD. Energies are from GGA-PBE.

## Properties
- mass density (g/cm³) = 5.08
- energy above the most stable polymorph in this dataset (eV per formula unit) = 0.530
- spin magnetization (Bohr magnetons per cell) = 0.00

CIF file:
```
data_KErPO
_chemical_formula_sum 'K2 Er2 P2 O2'
_space_group_name_H-M_alt 'P 4/n m m'
_space_group_IT_number 129
_cell_length_a 3.9673
_cell_length_b 3.9673
_cell_length_c 10.5266
_cell_angle_alpha 90.00
_cell_angle_beta 90.00
_cell_angle_gamma 90.00
loop_
_space_group_symop_operation_xyz
'x,y,z'
'-x,-y,-z'
'-y+1/2,x,z'
'y+1/2,-x,-z'
'-x+1/2,-y+1/2,z'
'x+1/2,y+1/2,-z'
'y,-x+1/2,z'
'-y,x+1/2,-z'
'x+1/2,-y,-z'
'-x+1/2,y,z'
'-y,-x,-z'
'y,x,z'
'-x,y+1/2,-z'
'x,-y+1/2,z'
'y+1/2,x+1/2,-z'
'-y+1/2,-x+1/2,z'
loop_
_atom_site_label
_atom_site_type_symbol
_atom_site_fract_x
_atom_site_fract_y
_atom_site_fract_z
_atom_site_occupancy
K1 K 0.2500 0.7500 0.0000 1
Er1 Er 0.2500 0.2500 0.4025 1
P1 P 0.2500 0.2500 0.7710 1
O1 O 0.2500 0.7500 0.5000 1
```

3.
Here is an optimized crystal structure of Nd2MgAl3Ge2Pt from OQMD. Energies are from GGA-PBE.

## Properties
- total energy (eV per atom) = -4.91
- mass density (g/cm³) = 6.69
- spin magnetization (Bohr magnetons per cell) = 0.02

CIF file:
```
data_Nd2MgAl3Ge2Pt
_chemical_formula_sum 'Nd4 Mg2 Al6 Ge4 Pt2'
_space_group_name_H-M_alt 'A m m 2'
_space_group_IT_number 38
_cell_length_a 4.2764
_cell_length_b 11.9942
_cell_length_c 7.1030
_cell_angle_alpha 90.00
_cell_angle_beta 90.00
_cell_angle_gamma 90.00
loop_
_space_group_symop_operation_xyz
'x,y,z'
'-x,-y,z'
'-x,y,z'
'x,-y,z'
'x,y+1/2,z+1/2'
'-x,-y+1/2,z+1/2'
'-x,y+1/2,z+1/2'
'x,-y+1/2,z+1/2'
loop_
_atom_site_label
_atom_site_type_symbol
_atom_site_fract_x
_atom_site_fract_y
_atom_site_fract_z
_atom_site_occupancy
Nd1 Nd 0.0000 0.2099 0.0000 1
Mg1 Mg 0.0000 0.0000 0.3800 1
Al1 Al 0.5000 0.0000 0.0154 1
Al2 Al 0.5000 0.1161 0.6715 1
Ge1 Ge 0.5000 0.1579 0.2897 1
Pt1 Pt 0.0000 0.0000 0.7653 1
```

4.
Here is an optimized crystal structure of Y4CoAuC2 from OQMD. Energies are from GGA-PBE.

## Properties
- total energy (eV per atom) = -7.07
- mass density (g/cm³) = 6.68
- spin magnetization (Bohr magnetons per cell) = 0.00

CIF file:
```
data_Y4CoAuC2
_chemical_formula_sum 'Y4 Co1 Au1 C2'
_space_group_name_H-M_alt 'P -6 m 2'
_space_group_IT_number 187
_space_group_name_Hall 'P -6 2'
_cell_length_a 3.6239
_cell_length_b 3.6239
_cell_length_c 13.8952
_cell_angle_alpha 90.00
_cell_angle_beta 90.00
_cell_angle_gamma 120.00
loop_
_atom_site_label
_atom_site_type_symbol
_atom_site_fract_x
_atom_site_fract_y
_atom_site_fract_z
_atom_site_occupancy
Y1 Y 0.0000 0.0000 0.1395 1
Y2 Y 0.6667 0.3333 0.3357 1
Co1 Co 0.6667 0.3333 0.0000 1
Au1 Au 0.0000 0.0000 0.5000 1
C1 C 0.3333 0.6667 0.2457 1
```

5.
Here is an optimized crystal structure of YBiIrAu from OQMD. Energies are from GGA-PBE.

## Properties
- mass density (g/cm³) = 13.17
- energy above the most stable polymorph in this dataset (eV per formula unit) = 0.000
- spin magnetization (Bohr magnetons per cell) = 0.01

CIF file:
```
data_YBiIrAu
_chemical_formula_sum 'Y4 Bi4 Ir4 Au4'
_space_group_name_H-M_alt 'F -4 3 m'
_space_group_IT_number 216
_space_group_name_Hall 'F -4 2 3'
_cell_length_a 7.0241
_cell_length_b 7.0241
_cell_length_c 7.0241
_cell_angle_alpha 90.00
_cell_angle_beta 90.00
_cell_angle_gamma 90.00
loop_
_atom_site_label
_atom_site_type_symbol
_atom_site_fract_x
_atom_site_fract_y
_atom_site_fract_z
_atom_site_occupancy
Y1 Y 0.0000 0.0000 0.0000 1
Bi1 Bi 0.0000 0.0000 0.5000 1
Ir1 Ir 0.2500 0.2500 0.2500 1
Au1 Au 0.2500 0.2500 0.7500 1
```

6.
Here is an optimized crystal structure of SrCdHgSe3 from OQMD. Energies are from GGA-PBE.

## Properties
- mass density (g/cm³) = 6.42
- energy above the most stable polymorph in this dataset (eV per formula unit) = 0.120

CIF file:
```
data_SrCdHgSe3
_chemical_formula_sum 'Sr4 Cd4 Hg4 Se12'
_space_group_name_H-M_alt 'C m c m'
_space_group_IT_number 63
_space_group_name_Hall '-C 2c 2'
_cell_length_a 4.1861
_cell_length_b 13.9422
_cell_length_c 11.3061
_cell_angle_alpha 90.00
_cell_angle_beta 90.00
_cell_angle_gamma 90.00
loop_
_atom_site_label
_atom_site_type_symbol
_atom_site_fract_x
_atom_site_fract_y
_atom_site_fract_z
_atom_site_occupancy
Sr1 Sr 0.0000 0.2349 0.2500 1
Cd1 Cd 0.0000 0.4841 0.7500 1
Hg1 Hg 0.0000 0.0000 0.0000 1
Se1 Se 0.0000 0.1020 0.7500 1
Se2 Se 0.0000 0.3657 0.5641 1
```

7.
Here is an optimized crystal structure of ZrFeGe2 from OQMD. Energies are from GGA-PBE.

## Properties
- total energy (eV per atom) = -6.54
- mass density (g/cm³) = 7.45
- spin magnetization (Bohr magnetons per cell) = 0.01

CIF file:
```
data_ZrFeGe2
_chemical_formula_sum 'Zr4 Fe4 Ge8'
_space_group_name_H-M_alt 'F -4 3 m'
_space_group_IT_number 216
_space_group_name_Hall 'F -4 2 3'
_cell_length_a 6.3868
_cell_length_b 6.3868
_cell_length_c 6.3868
_cell_angle_alpha 90.00
_cell_angle_beta 90.00
_cell_angle_gamma 90.00
loop_
_atom_site_label
_atom_site_type_symbol
_atom_site_fract_x
_atom_site_fract_y
_atom_site_fract_z
_atom_site_occupancy
Zr1 Zr 0.0000 0.0000 0.0000 1
Fe1 Fe 0.2500 0.2500 0.7500 1
Ge1 Ge 0.0000 0.0000 0.5000 1
Ge2 Ge 0.2500 0.2500 0.2500 1
```

8.
Here is an optimized crystal structure of AcB2Os2 from OQMD. Energies are from GGA-PBE.

## Properties
- mass density (g/cm³) = 13.02
- energy above the most stable polymorph in this dataset (eV per formula unit) = 0.000
- spin magnetization (Bohr magnetons per cell) = 0.01

CIF file:
```
data_AcB2Os2
_chemical_formula_sum 'Ac8 B16 Os16'
_space_group_name_H-M_alt 'F d d d'
_space_group_IT_number 70
_cell_length_a 6.5602
_cell_length_b 9.4114
_cell_length_c 10.3962
_cell_angle_alpha 90.00
_cell_angle_beta 90.00
_cell_angle_gamma 90.00
loop_
_space_group_symop_operation_xyz
'x,y,z'
'-x,-y,-z'
'-x+1/4,-y+1/4,z'
'x+1/4,y+1/4,-z'
'x,-y+1/4,-z+1/4'
'-x,y+1/4,z+1/4'
'-x+1/4,y,-z+1/4'
'x+1/4,-y,z+1/4'
'x,y+1/2,z+1/2'
'-x,-y+1/2,-z+1/2'
'-x+1/4,-y+3/4,z+1/2'
'x+1/4,y+3/4,-z+1/2'
'x,-y+3/4,-z+3/4'
'-x,y+3/4,z+3/4'
'-x+1/4,y+1/2,-z+3/4'
'x+1/4,-y+1/2,z+3/4'
'x+1/2,y,z+1/2'
'-x+1/2,-y,-z+1/2'
'-x+3/4,-y+1/4,z+1/2'
'x+3/4,y+1/4,-z+1/2'
'x+1/2,-y+1/4,-z+3/4'
'-x+1/2,y+1/4,z+3/4'
'-x+3/4,y,-z+3/4'
'x+3/4,-y,z+3/4'
'x+1/2,y+1/2,z'
'-x+1/2,-y+1/2,-z'
'-x+3/4,-y+3/4,z'
'x+3/4,y+3/4,-z'
'x+1/2,-y+3/4,-z+1/4'
'-x+1/2,y+3/4,z+1/4'
'-x+3/4,y+1/2,-z+1/4'
'x+3/4,-y+1/2,z+1/4'
loop_
_atom_site_label
_atom_site_type_symbol
_atom_site_fract_x
_atom_site_fract_y
_atom_site_fract_z
_atom_site_occupancy
Ac1 Ac 0.1250 0.1250 0.1250 1
B1 B 0.1250 0.3015 0.6250 1
Os1 Os 0.1250 0.1250 0.4891 1
```

9.
Here is an optimized crystal structure of Cs2TaGaBr6 from OQMD. Energies are from GGA-PBE.

## Properties
- total energy (eV per atom) = -3.75
- mass density (g/cm³) = 4.55
- spin magnetization (Bohr magnetons per cell) = 7.99

CIF file:
```
data_Cs2TaGaBr6
_chemical_formula_sum 'Cs8 Ta4 Ga4 Br24'
_space_group_name_H-M_alt 'F m -3 m'
_space_group_IT_number 225
_space_group_name_Hall '-F 4 2 3'
_cell_length_a 11.3315
_cell_length_b 11.3315
_cell_length_c 11.3315
_cell_angle_alpha 90.00
_cell_angle_beta 90.00
_cell_angle_gamma 90.00
loop_
_atom_site_label
_atom_site_type_symbol
_atom_site_fract_x
_atom_site_fract_y
_atom_site_fract_z
_atom_site_occupancy
Cs1 Cs 0.2500 0.2500 0.2500 1
Ta1 Ta 0.0000 0.0000 0.0000 1
Ga1 Ga 0.0000 0.0000 0.5000 1
Br1 Br 0.0000 0.0000 0.2332 1
```

10.
Here is an optimized crystal structure of TbHoTeC from OQMD. Energies are from GGA-PBE.

## Properties
- total energy (eV per atom) = -6.26
- mass density (g/cm³) = 8.63
- spin magnetization (Bohr magnetons per cell) = 0.00

CIF file:
```
data_TbHoTeC
_chemical_formula_sum 'Tb2 Ho2 Te2 C2'
_space_group_name_H-M_alt 'P -3 m 1'
_space_group_IT_number 164
_space_group_name_Hall '-P 3 2"'
_cell_length_a 3.8326
_cell_length_b 3.8326
_cell_length_c 14.0261
_cell_angle_alpha 90.00
_cell_angle_beta 90.00
_cell_angle_gamma 120.00
loop_
_atom_site_label
_atom_site_type_symbol
_atom_site_fract_x
_atom_site_fract_y
_atom_site_fract_z
_atom_site_occupancy
Tb1 Tb 0.3333 0.6667 0.0944 1
Ho1 Ho 0.3333 0.6667 0.4076 1
Te1 Te 0.3333 0.6667 0.7477 1
C1 C 0.0000 0.0000 0.0000 1
C2 C 0.0000 0.0000 0.5000 1
```

11.
Here is an optimized crystal structure of PrAl5CoPd from OQMD. Energies are from GGA-PBE.

## Properties
- total energy (eV per atom) = -5.07
- mass density (g/cm³) = 5.16
- spin magnetization (Bohr magnetons per cell) = 0.00

CIF file:
```
data_PrAl5CoPd
_chemical_formula_sum 'Pr2 Al10 Co2 Pd2'
_space_group_name_H-M_alt 'I m m 2'
_space_group_IT_number 44
_cell_length_a 4.0435
_cell_length_b 7.1861
_cell_length_c 9.7777
_cell_angle_alpha 90.00
_cell_angle_beta 90.00
_cell_angle_gamma 90.00
loop_
_space_group_symop_operation_xyz
'x,y,z'
'-x,-y,z'
'-x,y,z'
'x,-y,z'
'x+1/2,y+1/2,z+1/2'
'-x+1/2,-y+1/2,z+1/2'
'-x+1/2,y+1/2,z+1/2'
'x+1/2,-y+1/2,z+1/2'
loop_
_atom_site_label
_atom_site_type_symbol
_atom_site_fract_x
_atom_site_fract_y
_atom_site_fract_z
_atom_site_occupancy
Pr1 Pr 0.0000 0.0000 0.0000 1
Al1 Al 0.0000 0.1813 0.6674 1
Al2 Al 0.0000 0.2001 0.3534 1
Al3 Al 0.0000 0.5000 0.0141 1
Co1 Co 0.0000 0.5000 0.2460 1
Pd1 Pd 0.0000 0.5000 0.7677 1
```

12.
Here is an optimized crystal structure of NaPaAl from OQMD. Energies are from GGA-PBE.

## Properties
- mass density (g/cm³) = 5.22
- energy above the most stable polymorph in this dataset (eV per formula unit) = 1.187
- spin magnetization (Bohr magnetons per cell) = 4.22

CIF file:
```
data_NaPaAl
_chemical_formula_sum 'Na4 Pa4 Al4'
_space_group_name_H-M_alt 'F -4 3 m'
_space_group_IT_number 216
_space_group_name_Hall 'F -4 2 3'
_cell_length_a 7.0990
_cell_length_b 7.0990
_cell_length_c 7.0990
_cell_angle_alpha 90.00
_cell_angle_beta 90.00
_cell_angle_gamma 90.00
loop_
_atom_site_label
_atom_site_type_symbol
_atom_site_fract_x
_atom_site_fract_y
_atom_site_fract_z
_atom_site_occupancy
Na1 Na 0.0000 0.0000 0.0000 1
Pa1 Pa 0.2500 0.2500 0.7500 1
Al1 Al 0.0000 0.0000 0.5000 1
```